# 1
Computed, not measured: a relaxed structure of YTm2Rh at the PBE level of DFT.

Calculated values
The total energy is -6.141 eV/atom. As for the energy of formation: -0.452 eV per atom. The calculation puts the volume at 25.6 A^3/atom. As for the relative energy among the computed polymorphs: 101.2 meV per atom.

Cell: 3.469 3.469 8.501 Å, 90.00 90.00 90.00°
Space group P4/mmm (No. 123)
Unique sites:
Y (0.000, 0.000, 0.000)
Tm (0.500, 0.500, 0.312)
Rh (0.000, 0.000, 0.500)


# 2
Computed, not measured: a relaxed structure of Y2Tm2Rh3 at the PBE level of DFT.

Calculated values
The total energy is -7.068 eV/atom. As for the energy of formation: -0.792 eV per atom. The calculation puts the volume at 22.3 A^3/atom.

Cell: 8.344 4.807 8.277 Å, 90.00 109.70 90.00°
Space group C2/m (No. 12)
Unique sites:
Y (0.123, 0.000, 0.369)
Tm (0.126, 0.500, 0.877)
Rh (0.000, 0.500, 0.500)
Rh (0.249, 0.500, 0.247)


# 3
Computed, not measured: a relaxed structure of YTm2Rh4 at the PBE level of DFT.

Calculated values
The total energy is -6.972 eV/atom. As for the energy of formation: -0.570 eV per atom. The calculation puts the volume at 20.3 A^3/atom.

Cell: 4.6171 4.6171 23.0443 Å, 90.00 90.00 120.00°
Space group R-3m (No. 166, hexagonal axes)
Unique sites:
Y (0.0000, 0.0000, 0.0000)
Tm (0.0000, 0.0000, 0.2393)
Rh (0.0000, 0.0000, 0.1223)
Rh (0.0000, 0.0000, 0.3771)


# 4
Computed, not measured: a relaxed structure of YTm4Rh5 at the PBE level of DFT.

Calculated values
The total energy is -7.050 eV/atom. As for the energy of formation: -0.939 eV per atom. The calculation puts the volume at 19.5 A^3/atom.

Cell: 3.347 3.347 17.374 Å, 90.00 90.00 90.00°
Space group P4/mmm (No. 123)
Unique sites:
Y (0.000, 0.000, 0.000)
Tm (0.000, 0.000, 0.202)
Tm (0.000, 0.000, 0.401)
Rh (0.500, 0.500, 0.104)
Rh (0.500, 0.500, 0.302)
Rh (0.500, 0.500, 0.500)


# 5
Computed, not measured: a relaxed structure of YTm2Rh2 at the PBE level of DFT.

Calculated values
The total energy is -6.774 eV/atom. As for the energy of formation: -0.752 eV per atom. The calculation puts the volume at 23.2 A^3/atom. As for the relative energy among the computed polymorphs: 0.0 meV per atom.

Cell: 4.7717 4.7717 5.8935 Å, 90.00 90.00 120.00°
Space group P-3m1 (No. 164)
Unique sites:
Y (0.0000, 0.0000, 0.0000)
Tm (0.3333, 0.6667, 0.3357)
Rh (0.3333, 0.6667, 0.8300)


# 6
Computed, not measured: a relaxed structure of YTmZnRh at the PBE level of DFT.

Calculated values
The total energy is -5.514 eV/atom. As for the energy of formation: -0.624 eV per atom. The calculation puts the volume at 20.9 A^3/atom. As for the relative energy among the computed polymorphs: 11.4 meV per atom.

Cell: 6.941 6.941 6.941 Å, 90.00 90.00 90.00°
Space group F-43m (No. 216)
Unique sites:
Y (0.000, 0.000, 0.000)
Tm (0.000, 0.000, 0.500)
Zn (0.250, 0.250, 0.250)
Rh (0.250, 0.250, 0.750)